Entry from the Alexandria database: NaP3F after structural relaxation (PBE).

Summary:
M_tot = 0.0 μB/f.u.
V = 112.0 Å³/f.u.
E above lowest polymorph = 0.929 eV per atom
formation energy without anion corrections = 1.41 eV/atom

a = 4.820 Å, b = 4.820 Å, c = 4.820 Å
α = 90.00°, β = 90.00°, γ = 90.00°
Atoms (fractional coordinates):
P1 0.000 0.500 0.000
P2 0.500 0.000 0.000
P3 0.000 0.000 0.500
F1 0.500 0.500 0.500
Na1 0.000 0.000 0.000